No. 1
Y4CoAg GGA-PBE relaxed; spin magnetization = 0.00 μB per atom; energy above the lowest structure with this stoichiometry = 4.2 kJ per mole of atoms; SG = No. 15; energy of formation = -17 kJ/mol of atoms; calculated volume = 311 Å³/cell; raw total energy = -6.146 eV/atom
1.0
4.280 -6.149 0.000
4.280 6.149 0.000
-1.563 0.000 5.909
Y Co Ag
8 2 2
Cartesian
1.907 4.103 5.697
1.595 1.015 3.490
4.308 4.103 3.167
2.377 -1.015 0.535
4.619 1.015 5.374
2.688 -4.103 2.743
5.401 -1.015 2.420
5.090 -4.103 0.212
3.107 6.129 4.432
3.889 -6.129 1.477
3.889 1.588 1.477
3.107 -1.588 4.432

No. 2
Y8CoAg2 GGA-PBE relaxed; spin magnetization = 0.00 μB per atom; energy above the lowest structure with this stoichiometry = 2.3 kJ per mole of atoms; SG = No. 8; energy of formation = -10 kJ/mol of atoms; calculated volume = 305 Å³/cell; raw total energy = -5.967 eV/atom
1.0
3.735 -7.986 0.000
3.735 7.986 0.000
-3.197 0.000 5.119
Y Co Ag
8 1 2
Cartesian
0.000 0.000 0.000
1.333 3.134 1.041
2.069 6.208 2.607
1.191 1.807 4.436
1.333 -3.134 1.041
2.848 0.000 1.846
1.191 -1.807 4.436
2.069 -6.208 2.607
0.408 0.000 2.564
3.506 3.487 3.606
3.506 -3.487 3.606

No. 3
Y2CoAg GGA-PBE relaxed; spin magnetization = 0.07 μB per atom; SG = No. 44; energy of formation = -5 kJ/mol of atoms; calculated volume = 88 Å³/cell; raw total energy = -5.770 eV/atom
1.0
-1.676 2.366 5.525
1.676 -2.366 5.525
1.676 2.366 -5.525
Y Co Ag
2 1 1
Cartesian
0.000 0.000 0.000
0.000 2.366 2.255
0.000 0.000 5.465
1.676 0.000 3.291